Record 1
Material: KRb2HgAu
Method: DFT, GGA-PBE
State: relaxed

a b c (Å): 6.645 6.645 6.377
angles (deg): 90.00 90.00 90.00
Element x y z (fractional)
Rb 0.500 0.000 0.000
Rb 0.000 0.500 0.000
K 0.000 0.000 0.500
Au 0.000 0.000 0.000
Hg 0.500 0.500 0.500

Calculated values
* space-group type: P4/mmm
* calculated formation energy: -0.529 eV/f.u.
* crystal system: tetragonal
* offset from the most stable computed form: 26 meV per atom

=====

Record 2
Material: KRbHg2Au
Method: DFT, GGA-PBE
State: relaxed

a b c (Å): 5.552 5.552 6.097
angles (deg): 90.00 90.00 90.00
Element x y z (fractional)
Au 0.000 0.000 0.000
K 0.000 0.000 0.500
Hg 0.500 0.000 0.000
Hg 0.000 0.500 0.000
Rb 0.500 0.500 0.500

Calculated values
* space-group type: P4/mmm
* calculated formation energy: -0.764 eV/f.u.
* crystal system: tetragonal
* offset from the most stable computed form: 107 meV per atom

=====

Record 3
Material: KRbHgAu
Method: DFT, GGA-PBE
State: relaxed

a b c (Å): 5.929 5.929 5.929
angles (deg): 60.00 60.00 60.00
Element x y z (fractional)
Au 0.250 0.250 0.250
K 0.500 0.500 0.500
Rb 0.000 0.000 0.000
Hg 0.750 0.750 0.750

Calculated values
* space-group type: F-43m
* calculated formation energy: -0.921 eV/f.u.
* crystal system: cubic
* offset from the most stable computed form: 61 meV per atom

=====

Record 4
Material: K4Rb2Hg2Au
Method: DFT, GGA-PBE
State: relaxed

a b c (Å): 5.929 8.638 10.349
angles (deg): 109.52 106.62 70.08
Element x y z (fractional)
K 0.636 0.831 0.104
K 0.099 0.160 0.360
K 0.364 0.169 0.896
K 0.901 0.840 0.640
Rb 0.639 0.433 0.714
Rb 0.361 0.567 0.286
Hg 0.856 0.368 0.078
Hg 0.144 0.632 0.922
Au 0.000 0.000 0.000

Calculated values
* space-group type: P-1
* calculated formation energy: -1.526 eV/f.u.
* crystal system: triclinic

=====

Record 5
Material: K2RbHg2Au2
Method: DFT, GGA-PBE
State: relaxed

a b c (Å): 5.002 5.002 12.728
angles (deg): 78.67 78.67 60.00
Element x y z (fractional)
K 0.118 0.118 0.645
K 0.882 0.882 0.355
Rb 0.000 0.000 0.000
Hg 0.269 0.269 0.193
Hg 0.731 0.731 0.807
Au 0.600 0.600 0.200
Au 0.400 0.400 0.800

Calculated values
* space-group type: R-3m
* calculated formation energy: -1.840 eV/f.u.
* crystal system: trigonal

=====

Record 6
Material: K2RbHgAu2
Method: DFT, GGA-PBE
State: relaxed

a b c (Å): 4.838 8.992 9.793
angles (deg): 90.00 90.00 90.00
Element x y z (fractional)
K 0.500 0.537 0.920
K 0.000 0.884 0.801
K 0.500 0.037 0.080
K 0.000 0.384 0.199
Au 0.000 0.744 0.118
Au 0.500 0.737 0.608
Au 0.000 0.244 0.882
Au 0.500 0.237 0.392
Rb 0.000 0.462 0.568
Rb 0.000 0.962 0.432
Hg 0.500 0.681 0.297
Hg 0.500 0.181 0.703

Calculated values
* space-group type: Pmc2_1
* calculated formation energy: -1.618 eV/f.u.
* crystal system: orthorhombic

=====

Record 7
Material: K2Rb4HgAu2
Method: DFT, GGA-PBE
State: relaxed

a b c (Å): 6.688 8.359 10.057
angles (deg): 94.19 113.18 77.17
Element x y z (fractional)
Rb 0.873 0.817 0.608
Rb 0.546 0.744 0.974
Rb 0.127 0.183 0.392
Rb 0.454 0.256 0.026
Au 0.049 0.632 0.936
Au 0.951 0.368 0.064
Hg 0.000 0.000 0.000
K 0.769 0.353 0.714
K 0.231 0.647 0.286

Calculated values
* space-group type: P-1
* calculated formation energy: -1.494 eV/f.u.
* crystal system: triclinic

=====

Record 8
Material: KRb2HgAu
Method: DFT, GGA-PBE
State: relaxed

a b c (Å): 6.882 6.882 5.471
angles (deg): 90.00 90.00 90.00
Element x y z (fractional)
Rb 0.500 0.000 0.000
Rb 0.000 0.500 0.000
Au 0.000 0.000 0.500
Hg 0.000 0.000 0.000
K 0.500 0.500 0.500

Calculated values
* space-group type: P4/mmm
* calculated formation energy: -0.298 eV/f.u.
* crystal system: tetragonal
* offset from the most stable computed form: 72 meV per atom